First-principles (PBE with a Hubbard U) data for a geometry-optimized Er2MnSnO6 structure, as listed in the Alexandria database.

Raw total energy (eV/atom): -7.66

a = 5.891 Å, b = 5.891 Å, c = 5.891 Å
α = 56.76°, β = 56.76°, γ = 56.76°
Atoms (fractional coordinates):
Er1 0.000 0.000 0.000
Er2 0.498 0.498 0.498
Mn1 0.219 0.219 0.219
Sn1 0.709 0.709 0.709
O1 0.079 0.427 0.819
O2 0.331 0.906 0.599
O3 0.427 0.819 0.079
O4 0.599 0.331 0.906
O5 0.819 0.079 0.427
O6 0.906 0.599 0.331